(a)
VASP calculation (GGA-PBE) on MgZrP2Cl after structural relaxation.

Calculated values
Total moment = 0.0 μB/f.u.
Calculated volume = 128 Å³/cell

a = 5.079 Å, b = 5.079 Å, c = 4.950 Å
α = 90.00°, β = 90.00°, γ = 90.00°
Space group P4/mmm (No. 123)
Unique sites:
Mg  0.000  0.000  0.000
Zr  0.500  0.500  0.500
P  0.000  0.500  0.500
Cl  0.500  0.500  0.000


(b)
VASP calculation (GGA-PBE) on MgZrP2Cl after structural relaxation.

Calculated values
Total moment = 0.0 μB/f.u.
Calculated volume = 105 Å³/cell

a = 4.827 Å, b = 4.827 Å, c = 4.508 Å
α = 90.00°, β = 90.00°, γ = 90.00°
Space group P4/mmm (No. 123)
Unique sites:
Mg  0.000  0.000  0.000
Zr  0.500  0.500  0.500
P  0.000  0.500  0.000
Cl  0.000  0.000  0.500


Most stable: (a). Least stable: (b).


(a)
VASP calculation (GGA-PBE) on MgPb2Cl after structural relaxation.

Calculated values
Total moment = 0.0 μB/f.u.
Calculated volume = 221 Å³/cell

a = 3.908 Å, b = 5.701 Å, c = 9.897 Å
α = 90.00°, β = 90.00°, γ = 90.00°
Space group Cmmm (No. 65)
Unique sites:
Mg  0.000  0.000  0.000
Pb  0.000  0.500  0.259
Cl  0.000  0.000  0.500


(b)
VASP calculation (GGA-PBE) on MgPb2Cl after structural relaxation.

Calculated values
Total moment = 0.0 μB/f.u.
Calculated volume = 113 Å³/cell

a = 3.665 Å, b = 5.548 Å, c = 5.836 Å
α = 90.00°, β = 107.05°, γ = 90.00°
Space group Pm (No. 6)
Unique sites:
Mg  0.000  0.000  0.000
Pb  0.279  0.000  0.542
Pb  0.754  0.500  0.502
Cl  0.997  0.500  0.014


Most stable: (b). Least stable: (a).


(a)
VASP calculation (GGA-PBE) on MgPb2Cl after structural relaxation.

Calculated values
Total moment = 0.0 μB/f.u.
Calculated volume = 225 Å³/cell

a = 3.395 Å, b = 4.367 Å, c = 15.184 Å
α = 90.00°, β = 90.00°, γ = 90.00°
Space group Immm (No. 71)
Unique sites:
Mg  0.000  0.000  0.000
Pb  0.000  0.500  0.310
Cl  0.000  0.000  0.500


(b)
VASP calculation (GGA-PBE) on MgPb2Cl after structural relaxation.

Calculated values
Total moment = 0.0 μB/f.u.
Calculated volume = 111 Å³/cell

a = 3.414 Å, b = 5.307 Å, c = 6.134 Å
α = 90.00°, β = 90.00°, γ = 90.00°
Space group Pmmm (No. 47)
Unique sites:
Mg  0.000  0.000  0.000
Pb  0.000  0.500  0.500
Pb  0.500  0.500  0.000
Cl  0.500  0.000  0.500


(c)
VASP calculation (GGA-PBE) on MgPb2Cl after structural relaxation.

Calculated values
Total moment = 0.0 μB/f.u.
Calculated volume = 112 Å³/cell

a = 3.447 Å, b = 5.410 Å, c = 6.061 Å
α = 90.00°, β = 99.15°, γ = 90.00°
Space group P2/m (No. 10)
Unique sites:
Mg  0.000  0.000  0.000
Pb  0.276  0.500  0.751
Cl  0.500  0.000  0.500


Most stable: (a). Least stable: (c).


(a)
VASP calculation (GGA-PBE) on MgPbCl2 after structural relaxation.

Calculated values
Total moment = 0.0 μB/f.u.
Calculated volume = 102 Å³/cell

a = 4.604 Å, b = 3.560 Å, c = 6.194 Å
α = 90.00°, β = 90.51°, γ = 90.00°
Space group P2/m (No. 10)
Unique sites:
Mg  0.000  0.000  0.000
Pb  0.000  0.500  0.500
Cl  0.500  0.000  0.500
Cl  0.500  0.500  0.000


(b)
VASP calculation (GGA-PBE) on MgPbCl2 after structural relaxation.

Calculated values
Total moment = 0.0 μB/f.u.
Calculated volume = 398 Å³/cell

a = 3.5277 Å, b = 3.5277 Å, c = 36.9077 Å
α = 90.00°, β = 90.00°, γ = 120.00°
Space group R-3m (No. 166, hexagonal axes)
Unique sites:
Mg  0.0000  0.0000  0.0000
Pb  0.0000  0.0000  0.5000
Cl  0.0000  0.0000  0.2947


(c)
VASP calculation (GGA-PBE) on MgPbCl2 after structural relaxation.

Calculated values
Total moment = 0.0 μB/f.u.
Calculated volume = 526 Å³/cell

a = 7.137 Å, b = 7.137 Å, c = 10.327 Å
α = 90.00°, β = 90.00°, γ = 90.00°
Space group I-42d (No. 122)
Unique sites:
Mg  0.000  0.000  0.000
Pb  0.000  0.000  0.500
Cl  0.113  0.250  0.125


(d)
VASP calculation (GGA-PBE) on MgPbCl2 after structural relaxation.

Calculated values
Total moment = 0.0 μB/f.u.
Calculated volume = 412 Å³/cell

a = 7.440 Å, b = 7.440 Å, c = 7.440 Å
α = 90.00°, β = 90.00°, γ = 90.00°
Space group Fm-3m (No. 225)
Unique sites:
Mg  0.000  0.000  0.000
Pb  0.000  0.000  0.500
Cl  0.250  0.250  0.250


Most stable: (b). Least stable: (d).


(a)
VASP calculation (GGA-PBE) on MgPbCl2 after structural relaxation.

Calculated values
Total moment = 0.0 μB/f.u.
Calculated volume = 217 Å³/cell

a = 4.147 Å, b = 4.147 Å, c = 12.621 Å
α = 90.00°, β = 90.00°, γ = 90.00°
Space group I-4m2 (No. 119)
Unique sites:
Mg  0.000  0.000  0.000
Pb  0.000  0.500  0.750
Cl  0.000  0.000  0.500
Cl  0.000  0.500  0.250


(b)
VASP calculation (GGA-PBE) on MgPbCl2 after structural relaxation.

Calculated values
Total moment = 0.0 μB/f.u.
Calculated volume = 123 Å³/cell

a = 3.212 Å, b = 3.212 Å, c = 11.966 Å
α = 90.00°, β = 90.00°, γ = 90.00°
Space group P4/mmm (No. 123)
Unique sites:
Mg  0.000  0.000  0.000
Pb  0.000  0.000  0.500
Cl  0.500  0.500  0.126


(c)
VASP calculation (GGA-PBE) on MgPbCl2 after structural relaxation.

Calculated values
Total moment = 0.0 μB/f.u.
Calculated volume = 409 Å³/cell

a = 7.422 Å, b = 7.422 Å, c = 7.422 Å
α = 90.00°, β = 90.00°, γ = 90.00°
Space group F-43m (No. 216)
Unique sites:
Mg  0.000  0.000  0.000
Pb  0.250  0.250  0.250
Cl  0.000  0.000  0.500
Cl  0.250  0.250  0.750


(d)
VASP calculation (GGA-PBE) on MgPbCl2 after structural relaxation.

Calculated values
Total moment = 0.0 μB/f.u.
Calculated volume = 255 Å³/cell

a = 12.868 Å, b = 3.356 Å, c = 6.347 Å
α = 90.00°, β = 111.41°, γ = 90.00°
Space group C2/m (No. 12)
Unique sites:
Mg  0.000  0.000  0.000
Pb  0.000  0.500  0.500
Cl  0.138  0.500  0.202


Most stable: (d). Least stable: (c).


(a)
VASP calculation (GGA-PBE) on MgPbCl3 after structural relaxation.

Calculated values
Total moment = 0.6 μB/f.u.
Calculated volume = 124 Å³/cell

a = 4.983 Å, b = 4.983 Å, c = 4.983 Å
α = 90.00°, β = 90.00°, γ = 90.00°
Space group Pm-3m (No. 221)
Unique sites:
Mg  0.000  0.000  0.000
Pb  0.500  0.500  0.500
Cl  0.000  0.000  0.500


(b)
VASP calculation (GGA-PBE) on MgPbCl3 after structural relaxation.

Calculated values
Total moment = 1.0 μB/f.u.
Calculated volume = 180 Å³/cell

a = 5.646 Å, b = 5.646 Å, c = 5.646 Å
α = 90.00°, β = 90.00°, γ = 90.00°
Space group Pm-3m (No. 221)
Unique sites:
Mg  0.000  0.000  0.000
Pb  0.500  0.500  0.500
Cl  0.000  0.500  0.500


Most stable: (a). Least stable: (b).


(a)
VASP calculation (GGA-PBE) on MgPbCl4 after structural relaxation.

Calculated values
Total moment = 0.0 μB/f.u.
Calculated volume = 756 Å³/cell

a = 7.456 Å, b = 8.810 Å, c = 11.507 Å
α = 90.00°, β = 90.00°, γ = 90.00°
Space group Imma (No. 74)
Unique sites:
Mg  0.250  0.250  0.250
Pb  0.000  0.000  0.000
Cl  0.000  0.052  0.251
Cl  0.246  0.250  0.471


(b)
VASP calculation (GGA-PBE) on MgPbCl4 after structural relaxation.

Calculated values
Total moment = 0.0 μB/f.u.
Calculated volume = 362 Å³/cell

a = 14.548 Å, b = 3.946 Å, c = 7.150 Å
α = 90.00°, β = 118.19°, γ = 90.00°
Space group C2/m (No. 12)
Unique sites:
Mg  0.000  0.000  0.000
Pb  0.000  0.500  0.500
Cl  0.107  0.500  0.243
Cl  0.114  0.000  0.825


Most stable: (a). Least stable: (b).


(a)
VASP calculation (GGA-PBE) on MgPb2Cl2 after structural relaxation.

Calculated values
Total moment = 0.0 μB/f.u.
Calculated volume = 318 Å³/cell

a = 7.805 Å, b = 7.805 Å, c = 5.225 Å
α = 90.00°, β = 90.00°, γ = 90.00°
Space group P4/mbm (No. 127)
Unique sites:
Mg  0.000  0.000  0.000
Pb  0.149  0.351  0.000
Cl  0.249  0.749  0.500


(b)
VASP calculation (GGA-PBE) on MgPb2Cl2 after structural relaxation.

Calculated values
Total moment = 0.0 μB/f.u.
Calculated volume = 309 Å³/cell

a = 4.768 Å, b = 4.768 Å, c = 13.574 Å
α = 90.00°, β = 90.00°, γ = 90.00°
Space group I4/mmm (No. 139)
Unique sites:
Mg  0.000  0.000  0.000
Pb  0.000  0.000  0.385
Cl  0.000  0.500  0.250


Most stable: (a). Least stable: (b).


(a)
VASP calculation (GGA-PBE) on MgPbSCl2 after structural relaxation.

Calculated values
Total moment = 0.0 μB/f.u.
Calculated volume = 138 Å³/cell

a = 5.021 Å, b = 5.021 Å, c = 5.491 Å
α = 90.00°, β = 90.00°, γ = 90.00°
Space group P4/mmm (No. 123)
Unique sites:
Mg  0.000  0.000  0.000
Pb  0.500  0.500  0.500
S  0.000  0.000  0.500
Cl  0.000  0.500  0.000


(b)
VASP calculation (GGA-PBE) on MgPbSCl2 after structural relaxation.

Calculated values
Total moment = 0.0 μB/f.u.
Calculated volume = 158 Å³/cell

a = 5.353 Å, b = 5.353 Å, c = 5.497 Å
α = 90.00°, β = 90.00°, γ = 90.00°
Space group P4/mmm (No. 123)
Unique sites:
Mg  0.000  0.000  0.000
Pb  0.500  0.500  0.500
S  0.500  0.500  0.000
Cl  0.000  0.500  0.500


Most stable: (a). Least stable: (b).


(a)
VASP calculation (GGA-PBE) on MgPdCl2 after structural relaxation.

Calculated values
Total moment = 0.0 μB/f.u.
Calculated volume = 285 Å³/cell

a = 6.583 Å, b = 6.583 Å, c = 6.583 Å
α = 90.00°, β = 90.00°, γ = 90.00°
Space group Fm-3m (No. 225)
Unique sites:
Mg  0.000  0.000  0.000
Pd  0.000  0.000  0.500
Cl  0.250  0.250  0.250


(b)
VASP calculation (GGA-PBE) on MgPdCl2 after structural relaxation.

Calculated values
Total moment = 0.0 μB/f.u.
Calculated volume = 374 Å³/cell

a = 5.715 Å, b = 5.715 Å, c = 11.459 Å
α = 90.00°, β = 90.00°, γ = 90.00°
Space group I-42d (No. 122)
Unique sites:
Mg  0.000  0.000  0.000
Pd  0.000  0.000  0.500
Cl  0.218  0.250  0.125


(c)
VASP calculation (GGA-PBE) on MgPdCl2 after structural relaxation.

Calculated values
Total moment = 0.0 μB/f.u.
Calculated volume = 254 Å³/cell

a = 3.5868 Å, b = 3.5868 Å, c = 22.7629 Å
α = 90.00°, β = 90.00°, γ = 120.00°
Space group R-3m (No. 166, hexagonal axes)
Unique sites:
Mg  0.0000  0.0000  0.0000
Pd  0.0000  0.0000  0.5000
Cl  0.0000  0.0000  0.3950


Most stable: (c). Least stable: (a).


(a)
VASP calculation (GGA-PBE) on MgPd2Cl after structural relaxation.

Calculated values
Total moment = 0.0 μB/f.u.
Calculated volume = 288 Å³/cell

a = 3.850 Å, b = 3.850 Å, c = 19.459 Å
α = 90.00°, β = 90.00°, γ = 90.00°
Space group I-42d (No. 122)
Unique sites:
Mg  0.000  0.000  0.000
Pd  0.246  0.250  0.125
Cl  0.000  0.000  0.500


(b)
VASP calculation (GGA-PBE) on MgPd2Cl after structural relaxation.

Calculated values
Total moment = 0.0 μB/f.u.
Calculated volume = 269 Å³/cell

a = 6.452 Å, b = 6.452 Å, c = 6.452 Å
α = 90.00°, β = 90.00°, γ = 90.00°
Space group Fm-3m (No. 225)
Unique sites:
Mg  0.000  0.000  0.000
Pd  0.250  0.250  0.250
Cl  0.000  0.000  0.500


Most stable: (a). Least stable: (b).